Record 1
Computed, not measured: a relaxed SrThTlIn crystal at the GGA-PBE level of DFT.

Output
- Space-group type: No. 216
- Magnetization: 0.0 μB per cell
- Raw total energy: -3.734 eV per atom

Cell: 5.609 5.609 5.609 Å, 60.00 60.00 60.00°
Sites, in units of the cell vectors:
1 Sr 0.750 0.750 0.750
2 Tl 0.000 0.000 0.000
3 Th 0.250 0.250 0.250
4 In 0.500 0.500 0.500

Record 2
Computed, not measured: a relaxed HfFe2Ir crystal at the GGA-PBE level of DFT.

Output
- Space-group type: No. 123
- Magnetization: 4.7 μB per cell
- Raw total energy: -9.269 eV per atom

Cell: 4.112 3.784 3.784 Å, 90.00 90.00 90.00°
Each line ends with the local moment (μB).
Sites, in units of the cell vectors:
1 Ir 0.500 0.500 0.500  0.17
2 Hf 0.500 0.000 0.000  -0.29
3 Fe 0.000 0.000 0.500  2.41
4 Fe 0.000 0.500 0.000  2.41

Record 3
Computed, not measured: a relaxed Na2PmTh2Te6 crystal at the GGA-PBE level of DFT.

Output
- Space-group type: No. 12
- Magnetization: 0.0 μB per cell
- ΔE_f (raw): -1.203 eV/atom

Cell: 7.734 7.734 8.089 Å, 99.11 99.11 120.14°
Sites, in units of the cell vectors:
1 Na 0.834 0.166 0.000
2 Na 0.166 0.834 0.000
3 Pm 0.000 0.000 0.500
4 Th 0.333 0.667 0.500
5 Th 0.667 0.333 0.500
6 Te 0.742 0.742 0.740
7 Te 0.082 0.416 0.740
8 Te 0.258 0.258 0.260
9 Te 0.416 0.082 0.740
10 Te 0.918 0.584 0.260
11 Te 0.584 0.918 0.260

Please write out number 3 again, unchanged.
Computed, not measured: a relaxed Na2PmTh2Te6 crystal at the GGA-PBE level of DFT.

Output
- Space-group type: No. 12
- Magnetization: 0.0 μB per cell
- ΔE_f (raw): -1.203 eV/atom

Cell: 7.734 7.734 8.089 Å, 99.11 99.11 120.14°
Sites, in units of the cell vectors:
1 Na 0.834 0.166 0.000
2 Na 0.166 0.834 0.000
3 Pm 0.000 0.000 0.500
4 Th 0.333 0.667 0.500
5 Th 0.667 0.333 0.500
6 Te 0.742 0.742 0.740
7 Te 0.082 0.416 0.740
8 Te 0.258 0.258 0.260
9 Te 0.416 0.082 0.740
10 Te 0.918 0.584 0.260
11 Te 0.584 0.918 0.260

Look up the magnetization of the first one. 0.0 μB per cell

Which formula does entry 1 have? SrThTlIn